[1]
The following is a PBE-GGA calculation of crystalline PmThNi4 at its relaxed geometry, from Alexandria via LeMat-Bulk.

CIF file:
```
data_PmThNi4
_chemical_formula_sum 'Pm4 Th4 Ni16'
_symmetry_space_group_name_H-M 'F -4 3 m'
_symmetry_Int_Tables_number 216
_symmetry_space_group_name_Hall 'F -4 2 3'
_cell_length_a 7.297
_cell_length_b 7.297
_cell_length_c 7.297
_cell_angle_alpha 90.00
_cell_angle_beta 90.00
_cell_angle_gamma 90.00
loop_
_atom_site_label
_atom_site_type_symbol
_atom_site_fract_x
_atom_site_fract_y
_atom_site_fract_z
Pm1 Pm 0.000 0.000 0.000
Th1 Th 0.250 0.250 0.750
Ni1 Ni 0.125 0.125 0.375
```

formation enthalpy at 0 K = -0.344 eV per atom

***

[2]
The following is a PBE-GGA calculation of crystalline PmThNi at its relaxed geometry, from Alexandria via LeMat-Bulk.

CIF file:
```
data_PmThNi
_chemical_formula_sum 'Pm4 Th4 Ni4'
_symmetry_space_group_name_H-M 'C 1 2/m 1'
_symmetry_Int_Tables_number 12
_cell_length_a 14.005
_cell_length_b 3.877
_cell_length_c 5.876
_cell_angle_alpha 90.00
_cell_angle_beta 98.05
_cell_angle_gamma 90.00
loop_
_symmetry_equiv_pos_as_xyz
'x,y,z'
'-x,-y,-z'
'-x,y,-z'
'x,-y,z'
'x+1/2,y+1/2,z'
'-x+1/2,-y+1/2,-z'
'-x+1/2,y+1/2,-z'
'x+1/2,-y+1/2,z'
loop_
_atom_site_label
_atom_site_type_symbol
_atom_site_fract_x
_atom_site_fract_y
_atom_site_fract_z
Pm1 Pm 0.077 0.000 0.273
Th1 Th 0.160 0.500 0.807
Ni1 Ni 0.232 0.500 0.358
```

formation enthalpy at 0 K = -0.228 eV per atom

***

[3]
The following is a PBE-GGA calculation of crystalline Pm12ThNi7 at its relaxed geometry, from Alexandria via LeMat-Bulk.

CIF file:
```
data_Pm12ThNi7
_chemical_formula_sum 'Pm36 Th3 Ni21'
_symmetry_space_group_name_H-M 'R -3'
_symmetry_Int_Tables_number 148
_symmetry_space_group_name_Hall '-R 3'
_cell_length_a 14.4069
_cell_length_b 14.4069
_cell_length_c 8.7886
_cell_angle_alpha 90.00
_cell_angle_beta 90.00
_cell_angle_gamma 120.00
loop_
_atom_site_label
_atom_site_type_symbol
_atom_site_fract_x
_atom_site_fract_y
_atom_site_fract_z
Pm1 Pm 0.0479 0.8456 0.3714
Pm2 Pm 0.0485 0.4534 0.6505
Th1 Th 0.0000 0.0000 0.0000
Ni1 Ni 0.0000 0.0000 0.5000
Ni2 Ni 0.0386 0.8697 0.7824
```

formation enthalpy at 0 K = -0.139 eV per atom

***

[4]
The following is a PBE-GGA calculation of crystalline PmThNi at its relaxed geometry, from Alexandria via LeMat-Bulk.

CIF file:
```
data_PmThNi
_chemical_formula_sum 'Pm1 Th1 Ni1'
_symmetry_space_group_name_H-M 'P 3 m 1'
_symmetry_Int_Tables_number 156
_cell_length_a 3.7764
_cell_length_b 3.7764
_cell_length_c 6.5282
_cell_angle_alpha 90.00
_cell_angle_beta 90.00
_cell_angle_gamma 120.00
loop_
_symmetry_equiv_pos_as_xyz
'x,y,z'
'-y,x-y,z'
'-x+y,-x,z'
'-y,-x,z'
'-x+y,y,z'
'x,x-y,z'
loop_
_atom_site_label
_atom_site_type_symbol
_atom_site_fract_x
_atom_site_fract_y
_atom_site_fract_z
Pm1 Pm 0.0000 0.0000 0.0000
Th1 Th 0.6667 0.3333 0.4590
Ni1 Ni 0.3333 0.6667 0.7141
```

formation enthalpy at 0 K = -0.115 eV per atom

***

[5]
The following is a PBE-GGA calculation of crystalline PmThNi4 at its relaxed geometry, from Alexandria via LeMat-Bulk.

CIF file:
```
data_PmThNi4
_chemical_formula_sum 'Pm2 Th2 Ni8'
_symmetry_space_group_name_H-M 'I m m m'
_symmetry_Int_Tables_number 71
_symmetry_space_group_name_Hall '-I 2 2'
_cell_length_a 4.067
_cell_length_b 7.064
_cell_length_c 7.661
_cell_angle_alpha 90.00
_cell_angle_beta 90.00
_cell_angle_gamma 90.00
loop_
_atom_site_label
_atom_site_type_symbol
_atom_site_fract_x
_atom_site_fract_y
_atom_site_fract_z
Pm1 Pm 0.000 0.000 0.000
Th1 Th 0.000 0.000 0.500
Ni1 Ni 0.000 0.334 0.246
```

formation enthalpy at 0 K = -0.381 eV per atom

***

[6]
The following is a PBE-GGA calculation of crystalline PmThNi at its relaxed geometry, from Alexandria via LeMat-Bulk.

CIF file:
```
data_PmThNi
_chemical_formula_sum 'Pm16 Th16 Ni16'
_symmetry_space_group_name_H-M 'F d d 2'
_symmetry_Int_Tables_number 43
_symmetry_space_group_name_Hall 'F 2 -2d'
_cell_length_a 11.731
_cell_length_b 20.414
_cell_length_c 5.734
_cell_angle_alpha 90.00
_cell_angle_beta 90.00
_cell_angle_gamma 90.00
loop_
_atom_site_label
_atom_site_type_symbol
_atom_site_fract_x
_atom_site_fract_y
_atom_site_fract_z
Pm1 Pm 0.106 0.214 0.000
Th1 Th 0.065 0.077 0.326
Ni1 Ni 0.088 0.202 0.500
```

formation enthalpy at 0 K = 0.039 eV per atom

***

[7]
The following is a PBE-GGA calculation of crystalline PmThNi at its relaxed geometry, from Alexandria via LeMat-Bulk.

CIF file:
```
data_PmThNi
_chemical_formula_sum 'Pm4 Th4 Ni4'
_symmetry_space_group_name_H-M 'F -4 3 m'
_symmetry_Int_Tables_number 216
_symmetry_space_group_name_Hall 'F -4 2 3'
_cell_length_a 6.869
_cell_length_b 6.869
_cell_length_c 6.869
_cell_angle_alpha 90.00
_cell_angle_beta 90.00
_cell_angle_gamma 90.00
loop_
_atom_site_label
_atom_site_type_symbol
_atom_site_fract_x
_atom_site_fract_y
_atom_site_fract_z
Pm1 Pm 0.000 0.000 0.000
Th1 Th 0.000 0.000 0.500
Ni1 Ni 0.250 0.250 0.250
```

formation enthalpy at 0 K = 0.023 eV per atom

***

[8]
The following is a PBE-GGA calculation of crystalline PmThNi at its relaxed geometry, from Alexandria via LeMat-Bulk.

CIF file:
```
data_PmThNi
_chemical_formula_sum 'Pm2 Th2 Ni2'
_symmetry_space_group_name_H-M 'I 4 m m'
_symmetry_Int_Tables_number 107
_symmetry_space_group_name_Hall 'I 4 -2'
_cell_length_a 3.586
_cell_length_b 3.586
_cell_length_c 11.786
_cell_angle_alpha 90.00
_cell_angle_beta 90.00
_cell_angle_gamma 90.00
loop_
_atom_site_label
_atom_site_type_symbol
_atom_site_fract_x
_atom_site_fract_y
_atom_site_fract_z
Pm1 Pm 0.000 0.000 0.000
Th1 Th 0.000 0.000 0.715
Ni1 Ni 0.000 0.000 0.327
```

formation enthalpy at 0 K = -0.152 eV per atom

***

[9]
The following is a PBE-GGA calculation of crystalline Pm2ThNi9 at its relaxed geometry, from Alexandria via LeMat-Bulk.

CIF file:
```
data_Pm2ThNi9
_chemical_formula_sum 'Pm6 Th3 Ni27'
_symmetry_space_group_name_H-M 'R -3 m'
_symmetry_Int_Tables_number 166
_symmetry_space_group_name_Hall '-R 3 2"'
_cell_length_a 5.0122
_cell_length_b 5.0122
_cell_length_c 24.8725
_cell_angle_alpha 90.00
_cell_angle_beta 90.00
_cell_angle_gamma 120.00
loop_
_atom_site_label
_atom_site_type_symbol
_atom_site_fract_x
_atom_site_fract_y
_atom_site_fract_z
Pm1 Pm 0.0000 0.0000 0.1394
Th1 Th 0.0000 0.0000 0.0000
Ni1 Ni 0.0000 0.0000 0.3329
Ni2 Ni 0.0000 0.0000 0.5000
Ni3 Ni 0.0007 0.5003 0.0814
```

formation enthalpy at 0 K = -0.383 eV per atom

***

[10]
The following is a PBE-GGA calculation of crystalline Pm4ThNi5 at its relaxed geometry, from Alexandria via LeMat-Bulk.

CIF file:
```
data_Pm4ThNi5
_chemical_formula_sum 'Pm4 Th1 Ni5'
_symmetry_space_group_name_H-M 'P 4/m m m'
_symmetry_Int_Tables_number 123
_symmetry_space_group_name_Hall '-P 4 2'
_cell_length_a 3.488
_cell_length_b 3.488
_cell_length_c 17.388
_cell_angle_alpha 90.00
_cell_angle_beta 90.00
_cell_angle_gamma 90.00
loop_
_atom_site_label
_atom_site_type_symbol
_atom_site_fract_x
_atom_site_fract_y
_atom_site_fract_z
Pm1 Pm 0.000 0.000 0.100
Pm2 Pm 0.000 0.000 0.298
Th1 Th 0.000 0.000 0.500
Ni1 Ni 0.500 0.500 0.000
Ni2 Ni 0.500 0.500 0.198
Ni3 Ni 0.500 0.500 0.413
```

formation enthalpy at 0 K = -0.267 eV per atom

***

[11]
The following is a PBE-GGA calculation of crystalline Pm2ThNi at its relaxed geometry, from Alexandria via LeMat-Bulk.

CIF file:
```
data_Pm2ThNi
_chemical_formula_sum 'Pm2 Th1 Ni1'
_symmetry_space_group_name_H-M 'P 4/m m m'
_symmetry_Int_Tables_number 123
_symmetry_space_group_name_Hall '-P 4 2'
_cell_length_a 3.539
_cell_length_b 3.539
_cell_length_c 8.545
_cell_angle_alpha 90.00
_cell_angle_beta 90.00
_cell_angle_gamma 90.00
loop_
_atom_site_label
_atom_site_type_symbol
_atom_site_fract_x
_atom_site_fract_y
_atom_site_fract_z
Pm1 Pm 0.000 0.000 0.196
Th1 Th 0.500 0.500 0.500
Ni1 Ni 0.500 0.500 0.000
```

formation enthalpy at 0 K = -0.071 eV per atom

***

[12]
The following is a PBE-GGA calculation of crystalline PmThNi10 at its relaxed geometry, from Alexandria via LeMat-Bulk.

CIF file:
```
data_PmThNi10
_chemical_formula_sum 'Pm1 Th1 Ni10'
_symmetry_space_group_name_H-M 'P m m m'
_symmetry_Int_Tables_number 47
_cell_length_a 3.980
_cell_length_b 4.950
_cell_length_c 8.551
_cell_angle_alpha 90.00
_cell_angle_beta 90.00
_cell_angle_gamma 90.00
loop_
_symmetry_equiv_pos_as_xyz
'x,y,z'
'-x,-y,-z'
'-x,-y,z'
'x,y,-z'
'x,-y,-z'
'-x,y,z'
'-x,y,-z'
'x,-y,z'
loop_
_atom_site_label
_atom_site_type_symbol
_atom_site_fract_x
_atom_site_fract_y
_atom_site_fract_z
Pm1 Pm 0.000 0.000 0.000
Th1 Th 0.000 0.500 0.500
Ni1 Ni 0.000 0.000 0.335
Ni2 Ni 0.000 0.500 0.168
Ni3 Ni 0.500 0.000 0.500
Ni4 Ni 0.500 0.251 0.251
Ni5 Ni 0.500 0.500 0.000
```

formation enthalpy at 0 K = -0.349 eV per atom

***

[13]
The following is a PBE-GGA calculation of crystalline PmTh4Ni4 at its relaxed geometry, from Alexandria via LeMat-Bulk.

CIF file:
```
data_PmTh4Ni4
_chemical_formula_sum 'Pm2 Th8 Ni8'
_symmetry_space_group_name_H-M 'P 42/n'
_symmetry_Int_Tables_number 86
_cell_length_a 8.625
_cell_length_b 8.625
_cell_length_c 5.839
_cell_angle_alpha 90.00
_cell_angle_beta 90.00
_cell_angle_gamma 90.00
loop_
_symmetry_equiv_pos_as_xyz
'x,y,z'
'-x,-y,-z'
'-y,x+1/2,z+1/2'
'y,-x+1/2,-z+1/2'
'-x+1/2,-y+1/2,z'
'x+1/2,y+1/2,-z'
'y+1/2,-x,z+1/2'
'-y+1/2,x,-z+1/2'
loop_
_atom_site_label
_atom_site_type_symbol
_atom_site_fract_x
_atom_site_fract_y
_atom_site_fract_z
Pm1 Pm 0.250 0.250 0.250
Th1 Th 0.055 0.666 0.160
Ni1 Ni 0.033 0.621 0.636
```

formation enthalpy at 0 K = -0.253 eV per atom

***

[14]
The following is a PBE-GGA calculation of crystalline PmTiNi2 at its relaxed geometry, from Alexandria via LeMat-Bulk.

CIF file:
```
data_PmTiNi2
_chemical_formula_sum 'Pm1 Ti1 Ni2'
_symmetry_space_group_name_H-M 'P 4/m m m'
_symmetry_Int_Tables_number 123
_symmetry_space_group_name_Hall '-P 4 2'
_cell_length_a 4.634
_cell_length_b 4.634
_cell_length_c 3.167
_cell_angle_alpha 90.00
_cell_angle_beta 90.00
_cell_angle_gamma 90.00
loop_
_atom_site_label
_atom_site_type_symbol
_atom_site_fract_x
_atom_site_fract_y
_atom_site_fract_z
Pm1 Pm 0.000 0.000 0.000
Ti1 Ti 0.500 0.500 0.000
Ni1 Ni 0.000 0.500 0.500
```

formation enthalpy at 0 K = -0.111 eV per atom

***

[15]
The following is a PBE-GGA calculation of crystalline PmTi2Ni3 at its relaxed geometry, from Alexandria via LeMat-Bulk.

CIF file:
```
data_PmTi2Ni3
_chemical_formula_sum 'Pm4 Ti8 Ni12'
_symmetry_space_group_name_H-M 'C m c m'
_symmetry_Int_Tables_number 63
_symmetry_space_group_name_Hall '-C 2c 2'
_cell_length_a 9.759
_cell_length_b 7.539
_cell_length_c 5.511
_cell_angle_alpha 90.00
_cell_angle_beta 90.00
_cell_angle_gamma 90.00
loop_
_atom_site_label
_atom_site_type_symbol
_atom_site_fract_x
_atom_site_fract_y
_atom_site_fract_z
Pm1 Pm 0.000 0.170 0.250
Ti1 Ti 0.205 0.500 0.000
Ni1 Ni 0.000 0.441 0.750
Ni2 Ni 0.158 0.197 0.750
```

formation enthalpy at 0 K = -0.260 eV per atom

***

[16]
The following is a PBE-GGA calculation of crystalline PmTiNi at its relaxed geometry, from Alexandria via LeMat-Bulk.

CIF file:
```
data_PmTiNi
_chemical_formula_sum 'Pm2 Ti2 Ni2'
_symmetry_space_group_name_H-M 'I 4 m m'
_symmetry_Int_Tables_number 107
_symmetry_space_group_name_Hall 'I 4 -2'
_cell_length_a 3.249
_cell_length_b 3.249
_cell_length_c 11.372
_cell_angle_alpha 90.00
_cell_angle_beta 90.00
_cell_angle_gamma 90.00
loop_
_atom_site_label
_atom_site_type_symbol
_atom_site_fract_x
_atom_site_fract_y
_atom_site_fract_z
Pm1 Pm 0.000 0.000 0.000
Ti1 Ti 0.000 0.000 0.720
Ni1 Ni 0.000 0.000 0.301
```

formation enthalpy at 0 K = -0.094 eV per atom

***

[17]
The following is a PBE-GGA calculation of crystalline PmTiNi4 at its relaxed geometry, from Alexandria via LeMat-Bulk.

CIF file:
```
data_PmTiNi4
_chemical_formula_sum 'Pm4 Ti4 Ni16'
_symmetry_space_group_name_H-M 'F -4 3 m'
_symmetry_Int_Tables_number 216
_symmetry_space_group_name_Hall 'F -4 2 3'
_cell_length_a 7.019
_cell_length_b 7.019
_cell_length_c 7.019
_cell_angle_alpha 90.00
_cell_angle_beta 90.00
_cell_angle_gamma 90.00
loop_
_atom_site_label
_atom_site_type_symbol
_atom_site_fract_x
_atom_site_fract_y
_atom_site_fract_z
Pm1 Pm 0.000 0.000 0.000
Ti1 Ti 0.250 0.250 0.250
Ni1 Ni 0.124 0.124 0.624
```

formation enthalpy at 0 K = -0.250 eV per atom

***

[18]
The following is a PBE-GGA calculation of crystalline PmTiNi at its relaxed geometry, from Alexandria via LeMat-Bulk.

CIF file:
```
data_PmTiNi
_chemical_formula_sum 'Pm2 Ti2 Ni2'
_symmetry_space_group_name_H-M 'P 4/m m m'
_symmetry_Int_Tables_number 123
_symmetry_space_group_name_Hall '-P 4 2'
_cell_length_a 3.283
_cell_length_b 3.283
_cell_length_c 10.955
_cell_angle_alpha 90.00
_cell_angle_beta 90.00
_cell_angle_gamma 90.00
loop_
_atom_site_label
_atom_site_type_symbol
_atom_site_fract_x
_atom_site_fract_y
_atom_site_fract_z
Pm1 Pm 0.000 0.000 0.165
Ti1 Ti 0.500 0.500 0.380
Ni1 Ni 0.000 0.000 0.500
Ni2 Ni 0.500 0.500 0.000
```

formation enthalpy at 0 K = -0.008 eV per atom

***

[19]
The following is a PBE-GGA calculation of crystalline PmTiNi2 at its relaxed geometry, from Alexandria via LeMat-Bulk.

CIF file:
```
data_PmTiNi2
_chemical_formula_sum 'Pm1 Ti1 Ni2'
_symmetry_space_group_name_H-M 'P 4/m m m'
_symmetry_Int_Tables_number 123
_symmetry_space_group_name_Hall '-P 4 2'
_cell_length_a 3.119
_cell_length_b 3.119
_cell_length_c 6.941
_cell_angle_alpha 90.00
_cell_angle_beta 90.00
_cell_angle_gamma 90.00
loop_
_atom_site_label
_atom_site_type_symbol
_atom_site_fract_x
_atom_site_fract_y
_atom_site_fract_z
Pm1 Pm 0.000 0.000 0.000
Ti1 Ti 0.000 0.000 0.500
Ni1 Ni 0.500 0.500 0.312
```

formation enthalpy at 0 K = -0.291 eV per atom

***

[20]
The following is a PBE-GGA calculation of crystalline Pm6TlNi2 at its relaxed geometry, from Alexandria via LeMat-Bulk.

CIF file:
```
data_Pm6TlNi2
_chemical_formula_sum 'Pm24 Tl4 Ni8'
_symmetry_space_group_name_H-M 'I m m m'
_symmetry_Int_Tables_number 71
_symmetry_space_group_name_Hall '-I 2 2'
_cell_length_a 9.455
_cell_length_b 10.118
_cell_length_c 10.454
_cell_angle_alpha 90.00
_cell_angle_beta 90.00
_cell_angle_gamma 90.00
loop_
_atom_site_label
_atom_site_type_symbol
_atom_site_fract_x
_atom_site_fract_y
_atom_site_fract_z
Pm1 Pm 0.000 0.203 0.229
Pm2 Pm 0.191 0.500 0.177
Pm3 Pm 0.205 0.316 0.500
Tl1 Tl 0.000 0.000 0.000
Tl2 Tl 0.000 0.000 0.500
Ni1 Ni 0.000 0.361 0.000
Ni2 Ni 0.000 0.500 0.380
```

formation enthalpy at 0 K = -0.252 eV per atom